(1)
Material: ZnRe2Mo
Method: DFT, PBE-GGA
State: optimized geometry

Structure (CIF):
```
data_ZnRe2Mo
_chemical_formula_sum 'Zn2 Re4 Mo2'
_space_group_name_H-M_alt 'C m m m'
_space_group_IT_number 65
_space_group_name_Hall '-C 2 2'
_cell_length_a 5.404
_cell_length_b 8.037
_cell_length_c 2.774
_cell_angle_alpha 90.00
_cell_angle_beta 90.00
_cell_angle_gamma 90.00
loop_
_atom_site_label
_atom_site_type_symbol
_atom_site_fract_x
_atom_site_fract_y
_atom_site_fract_z
Zn1 Zn 0.000 0.000 0.000
Re1 Re 0.250 0.250 0.500
Mo1 Mo 0.000 0.500 0.000
```

E in eV/atom: -8.912
ΔH_f (0 K) in eV per atom: 0.338
Magnetic moment in μB/f.u.: 0.00



(2)
Material: Zn2ReMo
Method: DFT, PBE-GGA
State: optimized geometry

Structure (CIF):
```
data_Zn2ReMo
_chemical_formula_sum 'Zn6 Re3 Mo3'
_space_group_name_H-M_alt 'R -3 m'
_space_group_IT_number 166
_space_group_name_Hall '-R 3 2"'
_cell_length_a 2.7672
_cell_length_b 2.7672
_cell_length_c 27.0967
_cell_angle_alpha 90.00
_cell_angle_beta 90.00
_cell_angle_gamma 120.00
loop_
_atom_site_label
_atom_site_type_symbol
_atom_site_fract_x
_atom_site_fract_y
_atom_site_fract_z
Zn1 Zn 0.0000 0.0000 0.2489
Re1 Re 0.0000 0.0000 0.5000
Mo1 Mo 0.0000 0.0000 0.0000
```

E in eV/atom: -6.178
ΔH_f (0 K) in eV per atom: 0.279
Magnetic moment in μB/f.u.: 0.06



(3)
Material: Zn2ReMo
Method: DFT, PBE-GGA
State: optimized geometry

Structure (CIF):
```
data_Zn2ReMo
_chemical_formula_sum 'Zn2 Re1 Mo1'
_space_group_name_H-M_alt 'P m m m'
_space_group_IT_number 47
_cell_length_a 3.219
_cell_length_b 4.217
_cell_length_c 4.380
_cell_angle_alpha 90.00
_cell_angle_beta 90.00
_cell_angle_gamma 90.00
loop_
_space_group_symop_operation_xyz
'x,y,z'
'-x,-y,-z'
'-x,-y,z'
'x,y,-z'
'x,-y,-z'
'-x,y,z'
'-x,y,-z'
'x,-y,z'
loop_
_atom_site_label
_atom_site_type_symbol
_atom_site_fract_x
_atom_site_fract_y
_atom_site_fract_z
Zn1 Zn 0.000 0.000 0.000
Zn2 Zn 0.500 0.500 0.000
Re1 Re 0.000 0.500 0.500
Mo1 Mo 0.500 0.000 0.500
```

E in eV/atom: -6.251
ΔH_f (0 K) in eV per atom: 0.206
Magnetic moment in μB/f.u.: 0.00



(4)
Material: ZnRe2Mo
Method: DFT, PBE-GGA
State: optimized geometry

Structure (CIF):
```
data_ZnRe2Mo
_chemical_formula_sum 'Zn2 Re4 Mo2'
_space_group_name_H-M_alt 'I m m m'
_space_group_IT_number 71
_space_group_name_Hall '-I 2 2'
_cell_length_a 3.129
_cell_length_b 4.387
_cell_length_c 8.766
_cell_angle_alpha 90.00
_cell_angle_beta 90.00
_cell_angle_gamma 90.00
loop_
_atom_site_label
_atom_site_type_symbol
_atom_site_fract_x
_atom_site_fract_y
_atom_site_fract_z
Zn1 Zn 0.000 0.000 0.000
Re1 Re 0.000 0.500 0.242
Mo1 Mo 0.000 0.000 0.500
```

E in eV/atom: -9.066
ΔH_f (0 K) in eV per atom: 0.184
Magnetic moment in μB/f.u.: 0.00